Rb2NiPbO: optimized geometry, PBE+U.

Output
**M_tot**: 0.43 μB per cell
**Final energy**: -2.106 eV per atom

Cell and atoms, written as CIF:
```
data_Rb2NiPbO
_chemical_formula_sum 'Rb2 Ni1 Pb1 O1'
_symmetry_space_group_name_H-M 'P 4/m m m'
_symmetry_Int_Tables_number 123
_symmetry_space_group_name_Hall '-P 4 2'
_cell_length_a 5.933
_cell_length_b 5.933
_cell_length_c 4.895
_cell_angle_alpha 90.00
_cell_angle_beta 90.00
_cell_angle_gamma 90.00
loop_
_atom_site_label
_atom_site_fract_x
_atom_site_fract_y
_atom_site_fract_z
Rb1 0.000 0.500 0.000
Ni1 0.000 0.000 0.000
Pb1 0.000 0.000 0.500
O1 0.500 0.500 0.500
```